No. 1
This record from the Alexandria database describes a geometry-optimized Mg2TcAu structure. The functional is GGA-PBE.

a = 6.431 Å, b = 6.431 Å, c = 6.431 Å
α = 90.00°, β = 90.00°, γ = 90.00°
Space group Fm-3m (No. 225)
One atom of each set of equivalent atoms:
1 Mg 0.250 0.250 0.250 x8
2 Tc 0.000 0.000 0.000 x4
3 Au 0.000 0.000 0.500 x4

Properties
E: -66.7 eV per cell
energy of formation: 0.04 eV/atom
DOS(E_F): 16.4 states/eV/cell



No. 2
This record from the Alexandria database describes a geometry-optimized LiZn3S4 structure. The functional is GGA-PBE.

a = 7.631 Å, b = 6.649 Å, c = 6.364 Å
α = 90.00°, β = 90.00°, γ = 90.00°
Space group Pmn2_1 (No. 31)
One atom of each set of equivalent atoms:
1 Li 0.000 0.165 0.000 x2
2 Zn 0.000 0.829 0.501 x2
3 Zn 0.250 0.335 0.502 x4
4 S 0.000 0.162 0.621 x2
5 S 0.000 0.824 0.134 x2
6 S 0.246 0.663 0.635 x4

Properties
E: -56.2 eV per cell
uncorrected formation energy: -732 meV/atom
DOS(E_F): 9.3 states/eV/cell